No. 1
Below is a relaxed Pm2CuNi2 crystal, with properties calculated at the PBE-GGA level.

Properties
Formation energy = -151 kJ/mol of formula units
Space-group type = No. 71

a b c (Å): 4.265 5.403 5.403
angles (deg): 59.06 66.75 66.75
Atoms (fractional coordinates):
Cu  0.500  0.500  0.000
Pm  0.301  0.199  0.699
Ni  0.000  0.762  0.738
Pm  0.699  0.801  0.301
Ni  0.000  0.238  0.262


No. 2
Below is a relaxed YPuAu3 crystal, with properties calculated at the PBE-GGA level.

Properties
Formation energy = -243 kJ/mol of formula units
Space-group type = No. 11

a b c (Å): 5.732 5.950 7.203
angles (deg): 90.00 90.00 102.17
Atoms (fractional coordinates):
Au  0.937  0.222  0.250
Au  0.687  0.380  0.939
Au  0.063  0.778  0.750
Pu  0.406  0.113  0.250
Au  0.313  0.620  0.061
Y  0.834  0.712  0.250
Pu  0.594  0.887  0.750
Y  0.166  0.288  0.750
Au  0.687  0.380  0.561
Au  0.313  0.620  0.439


No. 3
Below is a relaxed Pr2NdI6 crystal, with properties calculated at the PBE-GGA level.

Properties
Uncorrected formation energy = -1.30 eV per atom
Space-group type = No. 12

a b c (Å): 4.249 9.036 11.641
angles (deg): 114.92 90.00 103.60
Atoms (fractional coordinates):
I  0.977  0.954  0.214
Pr  0.675  0.350  0.847
Pr  0.325  0.650  0.153
I  0.023  0.046  0.786
Nd  0.000  0.000  0.500
I  0.354  0.708  0.450
I  0.681  0.363  0.125
I  0.646  0.292  0.550
I  0.319  0.637  0.875


No. 4
Below is a relaxed KMg14V crystal, with properties calculated at the PBE-GGA level.

Properties
Formation energy = 266 kJ/mol of formula units
Space-group type = No. 187

a b c (Å): 6.487 6.487 10.524
angles (deg): 90.00 90.00 120.00
Atoms (fractional coordinates):
Mg  0.167  0.833  0.232
Mg  0.495  0.990  0.500
Mg  0.167  0.833  0.768
Mg  0.503  0.497  0.000
Mg  0.666  0.833  0.768
K  0.000  0.000  0.500
Mg  0.667  0.333  0.741
V  0.000  0.000  0.000
Mg  0.167  0.334  0.768
Mg  0.666  0.833  0.232
Mg  0.667  0.333  0.259
Mg  0.495  0.505  0.500
Mg  0.167  0.334  0.232
Mg  0.010  0.505  0.500
Mg  0.994  0.497  0.000
Mg  0.503  0.006  0.000


No. 5
Below is a relaxed K5H4Cl crystal, with properties calculated at the PBE-GGA level.

Properties
Electronic total energy = -2.63 eV/atom
Space-group type = No. 166

a b c (Å): 4.117 4.117 17.019
angles (deg): 83.05 83.05 60.00
Atoms (fractional coordinates):
K  0.794  0.794  0.617
Cl  0.500  0.500  0.500
K  0.397  0.397  0.809
H  0.905  0.905  0.286
H  0.095  0.095  0.714
H  0.698  0.698  0.905
K  0.000  0.000  0.000
H  0.302  0.302  0.095
K  0.206  0.206  0.383
K  0.603  0.603  0.191


No. 6
Below is a relaxed SrTeP crystal, with properties calculated at the PBE-GGA level.

Properties
Uncorrected formation energy = -0.13 eV per atom
Space-group type = No. 107

a b c (Å): 8.484 8.484 8.484
angles (deg): 157.48 157.48 32.06
Atoms (fractional coordinates):
P  0.031  0.031  0.000
Sr  0.654  0.654  0.000
Te  0.315  0.315  0.000


No. 7
Below is a relaxed Nd5TmPb4 crystal, with properties calculated at the PBE-GGA level.

Properties
Formation energy = -351 kJ/mol of formula units
Space-group type = No. 12

a b c (Å): 5.470 7.348 11.425
angles (deg): 129.23 103.85 90.00
Atoms (fractional coordinates):
Nd  0.167  0.328  0.334
Pb  0.992  0.741  0.984
Nd  0.166  0.836  0.332
Tm  0.500  0.000  0.000
Nd  0.833  0.672  0.666
Pb  0.673  0.099  0.347
Pb  0.008  0.259  0.016
Nd  0.500  0.500  0.000
Pb  0.327  0.901  0.653
Nd  0.834  0.164  0.668


No. 8
Below is a relaxed Cd6Pd5Rh crystal, with properties calculated at the PBE-GGA level.

Properties
Formation energy = -418 kJ/mol of formula units
Space-group type = No. 10

a b c (Å): 4.407 7.155 6.970
angles (deg): 90.00 108.55 90.00
Atoms (fractional coordinates):
Cd  0.500  0.248  0.000
Cd  0.166  0.248  0.331
Rh  0.000  0.000  0.000
Cd  0.500  0.752  0.000
Pd  0.667  0.000  0.334
Pd  0.332  0.500  0.665
Pd  0.333  0.000  0.666
Cd  0.166  0.752  0.331
Cd  0.834  0.752  0.669
Pd  0.000  0.500  0.000
Pd  0.668  0.500  0.335
Cd  0.834  0.248  0.669


No. 9
Below is a relaxed Li7Mg3In crystal, with properties calculated at the PBE-GGA level.

Properties
Formation energy = -24 kJ/mol of formula units
Space-group type = No. 156

a b c (Å): 7.408 6.064 6.064
angles (deg): 120.00 90.00 90.00
Atoms (fractional coordinates):
Li  0.450  0.330  0.165
Li  0.117  0.667  0.333
In  0.435  0.333  0.667
Li  0.450  0.835  0.670
Li  0.450  0.835  0.165
Li  0.117  0.166  0.834
Li  0.117  0.667  0.834
Mg  0.787  0.500  0.500
Li  0.117  0.166  0.333
Mg  0.787  0.999  0.500
Mg  0.787  0.500  0.001


No. 10
Below is a relaxed Pa3ZnSn3Ru2 crystal, with properties calculated at the PBE-GGA level.

Properties
Formation energy = -334 kJ/mol of formula units
Space-group type = No. 189

a b c (Å): 3.851 7.635 7.635
angles (deg): 120.00 90.00 90.00
Atoms (fractional coordinates):
Zn  0.000  0.000  0.000
Pa  0.000  0.599  0.599
Pa  0.000  0.401  0.000
Pa  0.000  0.000  0.401
Ru  0.500  0.333  0.667
Sn  0.500  0.735  0.000
Ru  0.500  0.667  0.333
Sn  0.500  0.265  0.265
Sn  0.500  0.000  0.735


No. 11
Below is a relaxed LaTl4Fe crystal, with properties calculated at the PBE-GGA level.

Properties
Formation energy = 234 kJ/mol of formula units
Space-group type = No. 216

a b c (Å): 6.227 6.227 6.227
angles (deg): 60.00 60.00 60.00
Atoms (fractional coordinates):
Tl  0.375  0.375  0.375
Tl  0.375  0.874  0.375
Tl  0.375  0.375  0.874
Tl  0.874  0.375  0.375
La  0.000  0.000  0.000
Fe  0.750  0.750  0.750


No. 12
Below is a relaxed LuAg4Hg crystal, with properties calculated at the PBE-GGA level.

Properties
Formation energy = -76 kJ/mol of formula units
Space-group type = No. 216

a b c (Å): 5.551 5.551 5.551
angles (deg): 60.00 60.00 60.00
Atoms (fractional coordinates):
Ag  0.625  0.625  0.125
Ag  0.625  0.625  0.625
Ag  0.625  0.125  0.625
Hg  0.000  0.000  0.000
Lu  0.250  0.250  0.250
Ag  0.125  0.625  0.625


Total moment, record by record: 0.00; 11.52; 0.00; 3.69; 0.05; 0.00; 0.00; 0.00; 0.00; 0.00; 2.59; 0.00 μB per cell